# 1
# MgNbPb3 (GGA-PBE, optimized geometry)
# * total moment: 0.0 μB/f.u.
# * calculated density: 7.208 g cm⁻³
# * energy above the most stable polymorph in this dataset: 0.000 eV per atom
data_MgNbPb3
_space_group_name_H-M_alt 'P m -3 m'
_space_group_IT_number 221
_space_group_name_Hall '-P 4 2 3'
_cell_length_a 5.5418
_cell_length_b 5.5418
_cell_length_c 5.5418
_cell_angle_alpha 90.00
_cell_angle_beta 90.00
_cell_angle_gamma 90.00
loop_
_atom_site_label
_atom_site_fract_x
_atom_site_fract_y
_atom_site_fract_z
_atom_site_occupancy
Mg1 0.0000 0.0000 0.0000 1
Nb1 0.5000 0.5000 0.5000 1
Pb1 0.0000 0.5000 0.5000 1

***

# 2
# HfTc2SnHg (GGA-PBE, optimized geometry)
# * total moment: 2.3 μB/f.u.
# * calculated density: 9.234 g cm⁻³
data_HfTc2SnHg
_space_group_name_H-M_alt 'P 4/m m m'
_space_group_IT_number 123
_space_group_name_Hall '-P 4 2'
_cell_length_a 4.8894
_cell_length_b 4.8894
_cell_length_c 5.2191
_cell_angle_alpha 90.00
_cell_angle_beta 90.00
_cell_angle_gamma 90.00
loop_
_atom_site_label
_atom_site_fract_x
_atom_site_fract_y
_atom_site_fract_z
_atom_site_occupancy
Hf1 0.0000 0.0000 0.0000 1
Tc1 0.0000 0.5000 0.5000 1
Sn1 0.0000 0.0000 0.5000 1
Hg1 0.5000 0.5000 0.0000 1

***

# 3
# La8TcN2 (GGA-PBE, optimized geometry)
# * energy relative to the elements, uncorrected: -405 meV/atom
# * total moment: 0.9 μB/f.u.
# * calculated density: 5.651 g cm⁻³
data_La8TcN2
_space_group_name_H-M_alt 'C 1 2/m 1'
_space_group_IT_number 12
_cell_length_a 13.7659
_cell_length_b 8.1043
_cell_length_c 6.5302
_cell_angle_alpha 90.00
_cell_angle_beta 93.51
_cell_angle_gamma 90.00
loop_
_space_group_symop_operation_xyz
'x,y,z'
'-x,-y,-z'
'-x,y,-z'
'x,-y,z'
'x+1/2,y+1/2,z'
'-x+1/2,-y+1/2,-z'
'-x+1/2,y+1/2,-z'
'x+1/2,-y+1/2,z'
loop_
_atom_site_label
_atom_site_fract_x
_atom_site_fract_y
_atom_site_fract_z
_atom_site_occupancy
La1 0.0958 0.2219 0.2496 1
La2 0.1533 0.5000 0.7498 1
La3 0.1792 0.0000 0.7610 1
Tc1 0.0000 0.0000 0.5000 1
N1 0.1917 0.0000 0.1309 1

***

# 4
# KTlSi2 (GGA-PBE, optimized geometry)
# * energy relative to the elements, uncorrected: 111 meV/atom
# * total moment: 0.0 μB/f.u.
# * calculated density: 4.387 g cm⁻³
# * energy above the most stable polymorph in this dataset: 0.000 eV per atom
data_KTlSi2
_space_group_name_H-M_alt 'C 1 m 1'
_space_group_IT_number 8
_cell_length_a 6.8046
_cell_length_b 3.9385
_cell_length_c 8.7440
_cell_angle_alpha 90.00
_cell_angle_beta 104.53
_cell_angle_gamma 90.00
loop_
_space_group_symop_operation_xyz
'x,y,z'
'x,-y,z'
'x+1/2,y+1/2,z'
'x+1/2,-y+1/2,z'
loop_
_atom_site_label
_atom_site_fract_x
_atom_site_fract_y
_atom_site_fract_z
_atom_site_occupancy
K1 0.0000 0.0000 0.0000 1
Tl1 0.2060 0.0000 0.6260 1
Si1 0.2608 0.5000 0.2905 1
Si2 0.4582 0.0000 0.3874 1

***

# 5
# Al2FeRe (GGA-PBE, optimized geometry)
# * total moment: 2.7 μB/f.u.
# * calculated density: 8.929 g cm⁻³
# * energy above the most stable polymorph in this dataset: 0.026 eV per atom
data_Al2FeRe
_space_group_name_H-M_alt 'I m m m'
_space_group_IT_number 71
_space_group_name_Hall '-I 2 2'
_cell_length_a 3.2502
_cell_length_b 4.2175
_cell_length_c 8.0324
_cell_angle_alpha 90.00
_cell_angle_beta 90.00
_cell_angle_gamma 90.00
loop_
_atom_site_label
_atom_site_fract_x
_atom_site_fract_y
_atom_site_fract_z
_atom_site_occupancy
Al1 0.0000 0.0000 0.2419 1
Fe1 0.0000 0.5000 0.5000 1
Re1 0.0000 0.5000 0.0000 1

***

# 6
# MnIn3Bi (GGA-PBE, optimized geometry)
# * total moment: 4.6 μB/f.u.
# * calculated density: 5.043 g cm⁻³
# * energy above the most stable polymorph in this dataset: 0.640 eV per atom
data_MnIn3Bi
_space_group_name_H-M_alt 'P m -3 m'
_space_group_IT_number 221
_space_group_name_Hall '-P 4 2 3'
_cell_length_a 5.8513
_cell_length_b 5.8513
_cell_length_c 5.8513
_cell_angle_alpha 90.00
_cell_angle_beta 90.00
_cell_angle_gamma 90.00
loop_
_atom_site_label
_atom_site_fract_x
_atom_site_fract_y
_atom_site_fract_z
_atom_site_occupancy
Mn1 0.0000 0.0000 0.0000 1
In1 0.0000 0.5000 0.5000 1
Bi1 0.5000 0.5000 0.5000 1

***

| no. | E_tot (eV/atom) |
| --- | --- |
| 1 | -4.100 |
| 2 | -5.390 |
| 3 | -6.444 |
| 4 | -3.466 |
| 5 | -7.252 |
| 6 | -3.285 |